Record 1
First-principles (PBE) data for a relaxed structure of CaPrHf, as listed in Alexandria.

Properties
crystal system = monoclinic
space-group type = C2/m (12)

abc: 5.667 5.667 12.145
angles: 63.63 63.63 35.12
Sites, in units of the cell vectors:
Hf1 0.486 0.486 0.205
Ca1 0.455 0.455 0.753
Ca2 0.298 0.298 0.554
Hf2 0.267 0.267 0.103
Pr1 0.085 0.085 0.948
Pr2 0.668 0.668 0.359


Record 2
First-principles (PBE) data for a relaxed structure of CaPr2Hf2Pt5, as listed in Alexandria.

Properties
crystal system = tetragonal
space-group type = P4/mbm (127)

abc: 3.626 11.065 11.065
angles: 90.00 90.00 90.00
Sites, in units of the cell vectors:
Hf1 0.000 0.627 0.873
Pr1 0.000 0.326 0.826
Pt1 0.500 0.213 0.045
Pr2 0.000 0.826 0.674
Pt2 0.500 0.955 0.213
Hf2 0.000 0.373 0.127
Pr3 0.000 0.174 0.326
Pt3 0.500 0.545 0.713
Pt4 0.500 0.045 0.787
Pt5 0.500 0.787 0.955
Pt6 0.500 0.000 0.500
Pt7 0.500 0.287 0.545
Pt8 0.500 0.500 0.000
Pt9 0.500 0.713 0.455
Pr4 0.000 0.674 0.174
Ca1 0.000 0.000 0.000
Pt10 0.500 0.455 0.287
Hf3 0.000 0.873 0.373
Hf4 0.000 0.127 0.627
Ca2 0.000 0.500 0.500


Record 3
First-principles (PBE) data for a relaxed structure of CaHfPt2, as listed in Alexandria.

Properties
crystal system = tetragonal
space-group type = P4/mmm (123)

abc: 3.330 3.330 7.323
angles: 90.00 90.00 90.00
Sites, in units of the cell vectors:
Pt1 0.000 0.000 0.794
Ca1 0.500 0.500 0.500
Hf1 0.500 0.500 0.000
Pt2 0.000 0.000 0.206


Record 4
First-principles (PBE) data for a relaxed structure of CaHfPt2, as listed in Alexandria.

Properties
crystal system = tetragonal
space-group type = I-42d (122)

abc: 7.502 7.502 6.166
angles: 52.53 52.53 90.00
Sites, in units of the cell vectors:
Pt1 0.660 0.125 0.250
Ca1 0.500 0.500 0.000
Pt2 0.090 0.625 0.250
Pt3 0.375 0.340 0.750
Hf1 0.750 0.250 0.500
Ca2 0.250 0.750 0.500
Pt4 0.875 0.910 0.750
Hf2 0.000 0.000 0.000


Record 5
First-principles (PBE) data for a relaxed structure of CaHf2Pt, as listed in Alexandria.

Properties
crystal system = tetragonal
space-group type = I-42d (122)

abc: 8.150 8.150 6.492
angles: 51.12 51.12 90.00
Sites, in units of the cell vectors:
Hf1 0.875 0.943 0.750
Ca1 0.250 0.750 0.500
Hf2 0.057 0.625 0.250
Pt1 0.750 0.250 0.500
Ca2 0.500 0.500 0.000
Hf3 0.693 0.125 0.250
Hf4 0.375 0.307 0.750
Pt2 0.000 0.000 0.000


Record 6
First-principles (PBE) data for a relaxed structure of CaHf2Pt2, as listed in Alexandria.

Properties
crystal system = tetragonal
space-group type = I4/mmm (139)

abc: 4.592 4.592 6.332
angles: 68.74 68.74 90.00
Sites, in units of the cell vectors:
Hf1 0.250 0.750 0.500
Ca1 0.000 0.000 0.000
Pt1 0.623 0.623 0.755
Hf2 0.750 0.250 0.500
Pt2 0.377 0.377 0.245


Record 7
First-principles (PBE) data for a relaxed structure of CaHf2Pt2, as listed in Alexandria.

Properties
crystal system = tetragonal
space-group type = P4/mbm (127)

abc: 7.909 7.909 3.319
angles: 90.00 90.00 90.00
Sites, in units of the cell vectors:
Pt1 0.134 0.366 0.000
Hf1 0.343 0.157 0.500
Pt2 0.634 0.134 0.000
Pt3 0.866 0.634 0.000
Hf2 0.657 0.843 0.500
Pt4 0.366 0.866 0.000
Hf3 0.843 0.343 0.500
Hf4 0.157 0.657 0.500
Ca1 0.500 0.500 0.000
Ca2 0.000 0.000 0.000


Record 8
First-principles (PBE) data for a relaxed structure of CaHf2Pt, as listed in Alexandria.

Properties
crystal system = cubic
space-group type = Fm-3m (225)

abc: 4.863 4.863 4.863
angles: 60.00 60.00 60.00
Sites, in units of the cell vectors:
Hf1 0.750 0.750 0.750
Ca1 0.000 0.000 0.000
Hf2 0.250 0.250 0.250
Pt1 0.500 0.500 0.500


Number 1: ΔH_f (0 K) 266 meV/atom, density of states at the Fermi level 6.5 states/eV/cell. Number 2: ΔH_f (0 K) -836 meV/atom, density of states at the Fermi level 15.5 states/eV/cell. Number 3: ΔH_f (0 K) -1041 meV/atom, density of states at the Fermi level 2.3 states/eV/cell. Number 4: ΔH_f (0 K) -531 meV/atom, density of states at the Fermi level 2.5 states/eV/cell. Number 5: ΔH_f (0 K) -164 meV/atom, density of states at the Fermi level 4.1 states/eV/cell. Number 6: ΔH_f (0 K) -895 meV/atom, density of states at the Fermi level 2.7 states/eV/cell. Number 7: ΔH_f (0 K) -793 meV/atom, density of states at the Fermi level 8.3 states/eV/cell. Number 8: ΔH_f (0 K) -31 meV/atom, density of states at the Fermi level 6.2 states/eV/cell.